[1]
VASP calculation (PBE) on a relaxed Cr3FeCo crystal.

Structure (POSCAR):
```
Cr3FeCo
1.0
4.1368 0.0000 0.0000
0.0000 4.1368 0.0000
0.0000 0.0000 4.1368
Cr Fe Co
3 1 1
Direct
0.0000 0.0000 0.5000
0.0000 0.5000 0.0000
0.5000 0.0000 0.0000
0.0000 0.0000 0.0000
0.5000 0.5000 0.5000
```

Summary:
Total energy = -37.9 eV per cell
Formation enthalpy at 0 K = 6.5 eV per formula unit
E above lowest polymorph = 0 meV per atom


[2]
VASP calculation (PBE) on a relaxed CrFe2Co crystal.

Structure (POSCAR):
```
CrFe2Co
1.0
-1.7283 1.7283 8.2655
1.7283 -1.7283 8.2655
1.7283 1.7283 -8.2655
Cr Fe Co
2 4 2
Direct
0.0000 0.0000 0.0000
0.7500 0.2500 0.5000
0.1353 0.6250 0.0103
0.3750 0.3853 0.5103
0.6147 0.1250 0.9897
0.8750 0.8647 0.4897
0.2500 0.7500 0.5000
0.5000 0.5000 0.0000
```

Summary:
Total energy = -62.9 eV per cell
Formation enthalpy at 0 K = 2.2 eV per formula unit


[3]
VASP calculation (PBE) on a relaxed CrFe2Co crystal.

Structure (POSCAR):
```
CrFe2Co
1.0
2.5037 0.0000 0.0000
0.0000 3.5159 0.0000
0.0000 0.0000 5.0454
Cr Fe Co
1 2 1
Direct
0.0000 0.0000 0.0000
0.0000 0.0000 0.5053
0.5000 0.5000 0.2493
0.5000 0.5000 0.7501
```

Summary:
Total energy = -33.3 eV per cell
Formation enthalpy at 0 K = 0.3 eV per formula unit


[4]
VASP calculation (PBE) on a relaxed Cr2FeCo9 crystal.

Structure (POSCAR):
```
Cr2FeCo9
1.0
3.5229 0.0000 0.0000
0.0000 3.5229 0.0000
0.0000 0.0000 10.5808
Cr Fe Co
2 1 9
Direct
0.0000 0.0000 0.1675
0.0000 0.0000 0.8325
0.0000 0.0000 0.5000
0.0000 0.5000 0.0000
0.0000 0.5000 0.3295
0.0000 0.5000 0.6705
0.5000 0.0000 0.0000
0.5000 0.0000 0.3295
0.5000 0.0000 0.6705
0.5000 0.5000 0.1649
0.5000 0.5000 0.5000
0.5000 0.5000 0.8351
```

Summary:
Total energy = -91.3 eV per cell
Formation enthalpy at 0 K = 0.3 eV per formula unit


[5]
VASP calculation (PBE) on a relaxed CrFe3Co crystal.

Structure (POSCAR):
```
CrFe3Co
1.0
4.6895 0.0000 0.0000
0.0000 8.0394 0.0000
-3.3512 0.0000 6.0725
Cr Fe Co
4 12 4
Direct
0.2018 0.1271 0.1510
0.2018 0.3729 0.6510
0.7982 0.6271 0.3490
0.7982 0.8729 0.8490
0.0039 0.1243 0.7520
0.0039 0.3757 0.2520
0.3959 0.6238 0.5473
0.3959 0.8762 0.0473
0.4060 0.1249 0.5534
0.4060 0.3751 0.0534
0.5940 0.6249 0.9466
0.5940 0.8751 0.4466
0.6041 0.1238 0.9527
0.6041 0.3762 0.4527
0.9961 0.6243 0.7480
0.9961 0.8757 0.2480
0.1915 0.6257 0.1464
0.1915 0.8743 0.6464
0.8085 0.1257 0.3536
0.8085 0.3743 0.8536
```

Summary:
Total energy = -167.3 eV per cell
Formation enthalpy at 0 K = 0.3 eV per formula unit
E above lowest polymorph = 0 meV per atom


[6]
VASP calculation (PBE) on a relaxed CrFe2Co crystal.

Structure (POSCAR):
```
CrFe2Co
1.0
-1.7644 1.7644 3.6220
1.7644 -1.7644 3.6220
1.7644 1.7644 -3.6220
Cr Fe Co
1 2 1
Direct
0.0000 0.0000 0.0000
0.2500 0.7500 0.5000
0.5000 0.5000 0.0000
0.7500 0.2500 0.5000
```

Summary:
Total energy = -33.5 eV per cell
Formation enthalpy at 0 K = 0.2 eV per formula unit


[7]
VASP calculation (PBE) on a relaxed CrFe2Co crystal.

Structure (POSCAR):
```
CrFe2Co
1.0
2.5190 0.0000 0.0000
0.0000 3.5167 0.0000
0.0000 0.0000 5.0417
Cr Fe Co
1 2 1
Direct
0.0000 0.0000 0.0000
0.5000 0.5000 0.2535
0.5000 0.5000 0.7465
0.0000 0.0000 0.5000
```

Summary:
Total energy = -33.3 eV per cell
Formation enthalpy at 0 K = 0.3 eV per formula unit


[8]
VASP calculation (PBE) on a relaxed CrFeCo3 crystal.

Structure (POSCAR):
```
CrFeCo3
1.0
4.1332 0.0000 0.0000
0.0000 4.1332 0.0000
0.0000 0.0000 4.1332
Cr Fe Co
1 1 3
Direct
0.0000 0.0000 0.0000
0.5000 0.5000 0.5000
0.0000 0.0000 0.5000
0.0000 0.5000 0.0000
0.5000 0.0000 0.0000
```

Summary:
Total energy = -33.2 eV per cell
Formation enthalpy at 0 K = 6.2 eV per formula unit
E above lowest polymorph = 899 meV per atom


[9]
VASP calculation (PBE) on a relaxed CrFe2Co crystal.

Structure (POSCAR):
```
CrFe2Co
1.0
-1.4319 1.9978 3.9498
1.4319 -1.9978 3.9498
1.4319 1.9978 -3.9498
Cr Fe Co
1 2 1
Direct
0.0000 0.0000 0.0000
0.2463 0.7463 0.5000
0.7537 0.2537 0.5000
0.5000 0.5000 0.0000
```

Summary:
Total energy = -33.2 eV per cell
Formation enthalpy at 0 K = 0.4 eV per formula unit


[10]
VASP calculation (PBE) on a relaxed CrFeCo crystal.

Structure (POSCAR):
```
CrFeCo
1.0
4.6994 0.0000 0.0000
1.3131 4.7726 0.0000
2.0194 2.0012 5.7055
Cr Fe Co
4 4 4
Direct
0.0594 0.3841 0.1972
0.0614 0.8854 0.1945
0.9386 0.1146 0.8055
0.9406 0.6159 0.8028
0.2860 0.9404 0.4737
0.3928 0.7215 0.8612
0.6072 0.2785 0.1388
0.7140 0.0596 0.5263
0.2778 0.4434 0.4768
0.3932 0.2188 0.8618
0.6068 0.7812 0.1382
0.7222 0.5566 0.5232
```

Summary:
Total energy = -99.7 eV per cell
Formation enthalpy at 0 K = 0.3 eV per formula unit
E above lowest polymorph = 14 meV per atom


[11]
VASP calculation (PBE) on a relaxed CrFeCo crystal.

Structure (POSCAR):
```
CrFeCo
1.0
3.9977 0.0000 0.0000
-1.9989 3.4621 0.0000
0.0000 0.0000 2.4270
Cr Fe Co
1 1 1
Direct
0.0000 0.0000 0.0000
0.6667 0.3333 0.2831
0.3333 0.6667 0.6227
```

Summary:
Total energy = -24.9 eV per cell
Formation enthalpy at 0 K = 0.3 eV per formula unit
E above lowest polymorph = 40 meV per atom


[12]
VASP calculation (PBE) on a relaxed CrFe2Co crystal.

Structure (POSCAR):
```
CrFe2Co
1.0
2.4409 0.0000 0.0000
0.0000 4.0019 0.0000
-0.7973 0.0000 4.6480
Cr Fe Co
1 2 1
Direct
0.0000 0.0000 0.0000
0.2448 0.5000 0.7506
0.7552 0.5000 0.2494
0.5000 0.0000 0.5000
```

Summary:
Total energy = -33.3 eV per cell
Formation enthalpy at 0 K = 0.3 eV per formula unit